# NaErBi GGA-PBE relaxed
# DFT total energy: -63.02 eV/cell
# DFT formation energy: -0.247 eV/atom
# Fermi-level density of states: 8.30 states/eV/cell
# Crystal system: trigonal
data_NaErBi
_cell_length_a 5.0752
_cell_length_b 5.0752
_cell_length_c 26.7415
_cell_angle_alpha 90.00
_cell_angle_beta 90.00
_cell_angle_gamma 120.00
_symmetry_space_group_name_H-M 'R -3 m'
_symmetry_Int_Tables_number 166
_symmetry_space_group_name_Hall '-R 3 2"'
loop_
_atom_site_label
_atom_site_fract_x
_atom_site_fract_y
_atom_site_fract_z
Na1 0.0000 0.0000 0.2040
Er1 0.0000 0.0000 0.3698
Bi1 0.0000 0.0000 0.0763

=====

# Hf2Al3C5 GGA-PBE relaxed
# DFT total energy: -157.18 eV/cell
# DFT formation energy: -0.134 eV/atom
# Fermi-level density of states: 3.09 states/eV/cell
# Crystal system: hexagonal
data_Hf2Al3C5
_cell_length_a 3.2289
_cell_length_b 3.2289
_cell_length_c 24.3753
_cell_angle_alpha 90.00
_cell_angle_beta 90.00
_cell_angle_gamma 120.00
_symmetry_space_group_name_H-M 'P 63/m m c'
_symmetry_Int_Tables_number 194
_symmetry_space_group_name_Hall '-P 6c 2c'
loop_
_atom_site_label
_atom_site_fract_x
_atom_site_fract_y
_atom_site_fract_z
Hf1 0.3333 0.6667 0.0558
Al1 0.0000 0.0000 0.1527
Al2 0.3333 0.6667 0.7500
C1 0.0000 0.0000 0.0000
C2 0.3333 0.6667 0.2167
C3 0.3333 0.6667 0.6122

=====

# PaOsPd2 GGA-PBE relaxed
# DFT total energy: -33.38 eV/cell
# DFT formation energy: -0.567 eV/atom
# Fermi-level density of states: 2.85 states/eV/cell
# Crystal system: tetragonal
data_PaOsPd2
_cell_length_a 4.015
_cell_length_b 4.015
_cell_length_c 4.317
_cell_angle_alpha 90.00
_cell_angle_beta 90.00
_cell_angle_gamma 90.00
_symmetry_space_group_name_H-M 'P 4/m m m'
_symmetry_Int_Tables_number 123
_symmetry_space_group_name_Hall '-P 4 2'
loop_
_atom_site_label
_atom_site_fract_x
_atom_site_fract_y
_atom_site_fract_z
Pa1 0.000 0.000 0.000
Os1 0.500 0.500 0.000
Pd1 0.000 0.500 0.500

=====

- DFT total energy of number 2 (Hf2Al3C5)?
  -157.18 eV/cell

=====

Copy entry 2 word for word.
# Hf2Al3C5 GGA-PBE relaxed
# DFT total energy: -157.18 eV/cell
# DFT formation energy: -0.134 eV/atom
# Fermi-level density of states: 3.09 states/eV/cell
# Crystal system: hexagonal
data_Hf2Al3C5
_cell_length_a 3.2289
_cell_length_b 3.2289
_cell_length_c 24.3753
_cell_angle_alpha 90.00
_cell_angle_beta 90.00
_cell_angle_gamma 120.00
_symmetry_space_group_name_H-M 'P 63/m m c'
_symmetry_Int_Tables_number 194
_symmetry_space_group_name_Hall '-P 6c 2c'
loop_
_atom_site_label
_atom_site_fract_x
_atom_site_fract_y
_atom_site_fract_z
Hf1 0.3333 0.6667 0.0558
Al1 0.0000 0.0000 0.1527
Al2 0.3333 0.6667 0.7500
C1 0.0000 0.0000 0.0000
C2 0.3333 0.6667 0.2167
C3 0.3333 0.6667 0.6122

=====

- Which of these has the highest Fermi-level density of states?
  NaErBi